Entry from Alexandria: a geometry-optimized Zr5CN2 structure (PBE).

Cell: 8.602 5.529 11.243 Å, 90.00 108.45 90.00°
Element x y z (fractional)
Zr: 0.006 0.236 0.164
Zr: 0.006 0.264 0.664
Zr: 0.195 0.734 0.136
Zr: 0.195 0.766 0.636
Zr: 0.222 0.222 0.478
Zr: 0.222 0.278 0.978
Zr: 0.383 0.676 0.420
Zr: 0.383 0.824 0.920
Zr: 0.415 0.192 0.286
Zr: 0.415 0.308 0.786
Zr: 0.585 0.692 0.214
Zr: 0.585 0.808 0.714
Zr: 0.617 0.176 0.080
Zr: 0.617 0.324 0.580
Zr: 0.778 0.722 0.022
Zr: 0.778 0.778 0.522
Zr: 0.805 0.234 0.364
Zr: 0.805 0.266 0.864
Zr: 0.994 0.736 0.336
Zr: 0.994 0.764 0.836
C: 0.000 0.000 0.500
C: 0.000 0.500 0.000
C: 0.500 0.000 0.500
C: 0.500 0.500 0.000
N: 0.188 0.052 0.798
N: 0.188 0.448 0.298
N: 0.398 0.513 0.604
N: 0.398 0.987 0.104
N: 0.602 0.013 0.896
N: 0.602 0.487 0.396
N: 0.812 0.552 0.702
N: 0.812 0.948 0.202

Values from the calculation:
- calculated volume (Å³ per atom) = 15.85
- SG = P2_1/c (14)
- uncorrected formation energy (eV per atom) = -0.923
- VASP energy (eV/f.u.) = -76.00

=====

Entry from Alexandria: a geometry-optimized AlH2Ru2 structure (PBE).

Cell: 5.618 5.618 5.618 Å, 148.83 148.83 44.66°
Element x y z (fractional)
Al: 0.000 0.000 0.000
H: 0.250 0.750 0.500
H: 0.750 0.250 0.500
Ru: 0.357 0.357 0.000
Ru: 0.643 0.643 0.000

Values from the calculation:
- calculated volume (Å³ per atom) = 9.47
- SG = I4/mmm (139)
- VASP energy (eV/f.u.) = -29.76

=====

Number 1: total magnetization 0.000 μB per atom. Number 2: total magnetization 0.000 μB per atom.